The following is a PBE-GGA calculation of a geometry-optimized Dy4Al2CdAg structure, from Alexandria.

Values from the calculation:
ρ, g/cm³: 7.82
E, eV per atom: -4.056
Energy of formation, eV per atom: -0.35
Calculated volume, Å³/cell: 196.2

abc: 5.176 5.176 8.971
angles: 73.24 73.24 60.00
Sites, in units of the cell vectors:
Al 0.749 0.749 0.754
Al 0.251 0.251 0.246
Dy 0.377 0.377 0.869
Dy 0.873 0.873 0.381
Dy 0.623 0.623 0.131
Dy 0.127 0.127 0.619
Ag 0.500 0.500 0.500
Cd 0.000 0.000 0.000